1.
Material: PdPtAu3
Method: DFT, GGA-PBEsol
State: optimized geometry Values from VASP.

Results
The density of states at the Fermi level is 6.6 states/eV per cell. The total energy is -3.52 eV per atom. Its magnetic moment is 0.000 μB/atom.

```
&SYSTEM
  ibrav = 0, nat = 5, ntyp = 3
/
ATOMIC_SPECIES
Pd 106.42 Pd.upf
Pt 195.08 Pt.upf
Au 196.97 Au.upf
CELL_PARAMETERS angstrom
4.812 0.000 0.000
0.000 4.812 0.000
0.000 0.000 4.812
ATOMIC_POSITIONS crystal
Pd 0.000 0.000 0.000
Pt 0.500 0.500 0.500
Au 0.000 0.000 0.500
Au 0.000 0.500 0.000
Au 0.500 0.000 0.000
```

---

2.
Material: Fe4OsW
Method: DFT, GGA-PBEsol
State: optimized geometry Values from VASP.

Results
The density of states at the Fermi level is 6.2 states/eV per cell. The total energy is -10.35 eV per atom. Its magnetic moment is 0.841 μB/atom.

```
&SYSTEM
  ibrav = 0, nat = 6, ntyp = 3
/
ATOMIC_SPECIES
Fe 55.84 Fe.upf
Os 190.23 Os.upf
W 183.84 W.upf
CELL_PARAMETERS angstrom
0.000 3.263 3.263
3.263 0.000 3.263
3.263 3.263 0.000
ATOMIC_POSITIONS crystal
Fe 0.125 0.125 0.125
Fe 0.125 0.125 0.626
Fe 0.125 0.626 0.125
Fe 0.626 0.125 0.125
Os 0.750 0.750 0.750
W 0.500 0.500 0.500
```

---

Q: Number 1 is which compound?
A: PdPtAu3